A relaxed structure of PAu2N. Source: Alexandria, functional PBE. Values from VASP.

```
&SYSTEM
  ibrav = 0, nat = 4, ntyp = 3
/
ATOMIC_SPECIES
Au 196.97 Au.upf
N 14.01 N.upf
P 30.97 P.upf
ATOMIC_POSITIONS angstrom
Au -1.326 0.063 -2.310
Au -3.977 0.188 -6.931
N 0.000 0.000 0.000
P -2.651 0.125 -4.621
CELL_PARAMETERS angstrom
-1.602 -2.418 -3.243
-3.732 1.140 -1.925
0.031 1.529 -4.074
```

Results
size of the total moment: 0.00 μB per atom
energy above the lowest structure with this stoichiometry: 291 meV/atom
VASP energy: -3.83 eV/atom
theoretical density: 12.5 g/cm³
formation energy (no corrections): 1.2425 eV/atom

***

A relaxed structure of CoHPtW2. Source: Alexandria, functional PBE. Values from VASP.

```
&SYSTEM
  ibrav = 0, nat = 5, ntyp = 4
/
ATOMIC_SPECIES
H 1.01 H.upf
W 183.84 W.upf
Pt 195.08 Pt.upf
Co 58.93 Co.upf
ATOMIC_POSITIONS angstrom
H 0.000 0.000 0.000
W -0.552 1.249 1.406
Pt 1.731 0.626 2.855
Co 1.830 0.710 0.087
W 0.453 -1.333 1.363
CELL_PARAMETERS angstrom
-1.103 2.498 2.811
0.906 -2.667 2.726
3.660 1.421 0.174
```

Results
size of the total moment: 0.20 μB per atom
VASP energy: -8.45 eV/atom
theoretical density: 17.1 g/cm³

***

A relaxed structure of La4Mg. Source: Alexandria, functional PBE. Values from VASP.

```
&SYSTEM
  ibrav = 0, nat = 5, ntyp = 2
/
ATOMIC_SPECIES
La 138.91 La.upf
Mg 24.30 Mg.upf
ATOMIC_POSITIONS angstrom
La 2.968 0.000 2.968
La 2.968 2.968 0.000
La 0.000 0.000 0.000
La 0.000 2.968 2.968
Mg 2.968 2.968 2.968
CELL_PARAMETERS angstrom
5.936 0.000 0.000
0.000 5.936 0.000
0.000 0.000 5.936
```

Results
size of the total moment: 0.00 μB per atom
formation enthalpy at 0 K: 2.409 eV/f.u.
energy above the lowest structure with this stoichiometry: 515 meV/atom
VASP energy: -3.78 eV/atom
theoretical density: 4.6 g/cm³

***

A relaxed structure of CrAsRu2. Source: Alexandria, functional PBE. Values from VASP.

```
&SYSTEM
  ibrav = 0, nat = 8, ntyp = 3
/
ATOMIC_SPECIES
Ru 101.07 Ru.upf
Cr 52.00 Cr.upf
As 74.92 As.upf
ATOMIC_POSITIONS angstrom
Ru 6.709 6.610 4.033
Ru 3.926 1.342 1.344
Ru 4.025 4.124 4.033
Cr 2.683 2.683 0.000
As 5.367 2.683 2.689
Cr 2.683 5.367 2.689
Ru 1.441 4.025 1.344
As 0.000 0.000 0.000
CELL_PARAMETERS angstrom
5.367 0.000 0.000
0.000 5.367 0.000
2.683 2.683 5.377
```

Results
size of the total moment: 0.00 μB per atom
formation enthalpy at 0 K: 2.424 eV/f.u.
VASP energy: -7.60 eV/atom
theoretical density: 7.1 g/cm³

***

A relaxed structure of CaAlIn. Source: Alexandria, functional PBE. Values from VASP.

```
&SYSTEM
  ibrav = 0, nat = 6, ntyp = 3
/
ATOMIC_SPECIES
In 114.82 In.upf
Al 26.98 Al.upf
Ca 40.08 Ca.upf
ATOMIC_POSITIONS angstrom
In 2.081 -1.143 4.600
Al 4.360 1.110 4.575
Ca 2.080 -3.390 7.171
Ca 4.359 -1.139 2.163
In 4.362 -1.139 6.537
Al 2.078 1.109 2.854
CELL_PARAMETERS angstrom
4.561 0.000 0.000
0.000 4.498 0.007
0.000 -4.497 7.637
```

Results
size of the total moment: 0.00 μB per atom
formation enthalpy at 0 K: -0.815 eV/f.u.
VASP energy: -3.10 eV/atom
theoretical density: 3.9 g/cm³

***

A relaxed structure of TbGdMnIn. Source: Alexandria, functional PBE. Values from VASP.

```
&SYSTEM
  ibrav = 0, nat = 4, ntyp = 4
/
ATOMIC_SPECIES
Tb 158.93 Tb.upf
In 114.82 In.upf
Gd 157.25 Gd.upf
Mn 54.94 Mn.upf
ATOMIC_POSITIONS angstrom
Tb -4.477 6.234 5.812
In -2.985 4.156 3.875
Gd -1.492 2.078 1.937
Mn 0.000 0.000 0.000
CELL_PARAMETERS angstrom
-2.308 4.697 0.272
-4.134 0.710 3.141
0.472 2.905 4.336
```

Results
size of the total moment: 2.63 μB per atom
formation enthalpy at 0 K: -0.283 eV/f.u.
VASP energy: -7.73 eV/atom
theoretical density: 7.9 g/cm³

***

Number 2 is which compound?
CoHPtW2